[1]
The following is a PBE calculation of crystalline MnInAs at its relaxed geometry, from Alexandria.

Calculated values
Distance to the lowest polymorph of the same formula in kJ/mol of atoms: 18.5
Space group: No. 216
Formation enthalpy at 0 K in meV per atom: 182
Size of the total moment in μB per formula unit: 3.228
Electronic total energy in eV/atom: -5.337
DOS(E_F) in states/eV/cell: 3.2

abc: 4.4278 4.4278 4.4278
angles: 60.00 60.00 60.00
Sites, in units of the cell vectors:
Mn  0.0000  0.0000  0.0000
In  0.2500  0.2500  0.2500
As  0.7500  0.7500  0.7500

=====

[2]
The following is a PBE calculation of crystalline MnIn2As at its relaxed geometry, from Alexandria.

Calculated values
Space group: No. 99
Formation enthalpy at 0 K in meV per atom: 98
Size of the total moment in μB per formula unit: 0.780
Electronic total energy in eV/atom: -4.726
DOS(E_F) in states/eV/cell: 1.6

abc: 3.0358 3.0358 8.5909
angles: 90.00 90.00 90.00
Sites, in units of the cell vectors:
Mn  0.0000  0.0000  0.0000
In  0.0000  0.0000  0.4543
In  0.5000  0.5000  0.7764
As  0.5000  0.5000  0.1410

=====

[3]
The following is a PBE calculation of crystalline MnIn2As at its relaxed geometry, from Alexandria.

Calculated values
Space group: No. 216
Formation enthalpy at 0 K in meV per atom: 317
Size of the total moment in μB per formula unit: 3.926
Electronic total energy in eV/atom: -4.507
DOS(E_F) in states/eV/cell: 1.2

abc: 4.9794 4.9794 4.9794
angles: 60.00 60.00 60.00
Sites, in units of the cell vectors:
Mn  0.0000  0.0000  0.0000
In  0.2500  0.2500  0.2500
In  0.5000  0.5000  0.5000
As  0.7500  0.7500  0.7500

=====

[4]
The following is a PBE calculation of crystalline MnIn2As at its relaxed geometry, from Alexandria.

Calculated values
Space group: No. 65
Formation enthalpy at 0 K in meV per atom: 266
Size of the total moment in μB per formula unit: 3.693
Electronic total energy in eV/atom: -4.558
DOS(E_F) in states/eV/cell: 2.1

abc: 5.2768 5.2768 3.1308
angles: 90.00 90.00 106.51
Sites, in units of the cell vectors:
Mn  0.0000  0.0000  0.0000
In  0.0000  0.5000  0.5000
In  0.5000  0.0000  0.5000
As  0.5000  0.5000  0.0000

=====

[5]
The following is a PBE calculation of crystalline MnInAs at its relaxed geometry, from Alexandria.

Calculated values
Distance to the lowest polymorph of the same formula in kJ/mol of atoms: 0.0
Space group: No. 129
Formation enthalpy at 0 K in meV per atom: -10
Size of the total moment in μB per formula unit: 1.854
Electronic total energy in eV/atom: -5.529
DOS(E_F) in states/eV/cell: 4.1

abc: 3.7738 3.7738 8.8204
angles: 90.00 90.00 90.00
Sites, in units of the cell vectors:
Mn  0.2500  0.7500  0.0000
Mn  0.7500  0.2500  0.0000
In  0.2500  0.2500  0.3527
In  0.7500  0.7500  0.6473
As  0.2500  0.2500  0.8281
As  0.7500  0.7500  0.1719

=====

[6]
The following is a PBE calculation of crystalline MnIn2As at its relaxed geometry, from Alexandria.

Calculated values
Space group: No. 65
Formation enthalpy at 0 K in meV per atom: 295
Size of the total moment in μB per formula unit: 3.443
Electronic total energy in eV/atom: -4.529
DOS(E_F) in states/eV/cell: 3.0

abc: 3.1273 3.1273 8.3621
angles: 90.00 90.00 92.88
Sites, in units of the cell vectors:
Mn  0.0000  0.0000  0.0000
In  0.5000  0.5000  0.2247
In  0.5000  0.5000  0.7753
As  0.0000  0.0000  0.5000

=====

[7]
The following is a PBE calculation of crystalline Mn2InAs at its relaxed geometry, from Alexandria.

Calculated values
Distance to the lowest polymorph of the same formula in kJ/mol of atoms: 6.8
Space group: No. 12
Formation enthalpy at 0 K in meV per atom: 205
Size of the total moment in μB per formula unit: 6.697
Electronic total energy in eV/atom: -6.227
DOS(E_F) in states/eV/cell: 2.4

abc: 4.5400 4.5400 5.2614
angles: 107.05 107.05 43.01
Sites, in units of the cell vectors:
Mn  0.2306  0.2306  0.2090
Mn  0.7694  0.7694  0.7910
In  0.0000  0.0000  0.5000
As  0.5000  0.5000  0.0000

=====

[8]
The following is a PBE calculation of crystalline MnInAs2 at its relaxed geometry, from Alexandria.

Calculated values
Space group: No. 10
Formation enthalpy at 0 K in meV per atom: 55
Size of the total moment in μB per formula unit: 3.306
Electronic total energy in eV/atom: -5.246
DOS(E_F) in states/eV/cell: 2.0

abc: 4.2010 3.6977 5.7766
angles: 90.00 110.61 90.00
Sites, in units of the cell vectors:
Mn  0.0000  0.0000  0.0000
In  0.5000  0.0000  0.5000
As  0.2408  0.5000  0.8092
As  0.7592  0.5000  0.1908

=====

[9]
The following is a PBE calculation of crystalline MnIn2As at its relaxed geometry, from Alexandria.

Calculated values
Space group: No. 160
Formation enthalpy at 0 K in meV per atom: 75
Size of the total moment in μB per formula unit: 2.810
Electronic total energy in eV/atom: -4.749
DOS(E_F) in states/eV/cell: 2.0

abc: 8.6119 8.6119 8.6119
angles: 23.11 23.11 23.11
Sites, in units of the cell vectors:
Mn  0.0000  0.0000  0.0000
In  0.5169  0.5169  0.5169
In  0.7475  0.7475  0.7475
As  0.2779  0.2779  0.2779

=====

[10]
The following is a PBE calculation of crystalline MnIn3As at its relaxed geometry, from Alexandria.

Calculated values
Distance to the lowest polymorph of the same formula in kJ/mol of atoms: 0.0
Space group: No. 221
Formation enthalpy at 0 K in meV per atom: 479
Size of the total moment in μB per formula unit: 3.614
Electronic total energy in eV/atom: -3.928
DOS(E_F) in states/eV/cell: 3.8

abc: 5.1087 5.1087 5.1087
angles: 90.00 90.00 90.00
Sites, in units of the cell vectors:
Mn  0.0000  0.0000  0.0000
In  0.0000  0.0000  0.5000
In  0.0000  0.5000  0.0000
In  0.5000  0.0000  0.0000
As  0.5000  0.5000  0.5000

=====

[11]
The following is a PBE calculation of crystalline Mn2InAs2 at its relaxed geometry, from Alexandria.

Calculated values
Distance to the lowest polymorph of the same formula in kJ/mol of atoms: 16.4
Space group: No. 139
Formation enthalpy at 0 K in meV per atom: 232
Size of the total moment in μB per formula unit: 0.548
Electronic total energy in eV/atom: -5.843
DOS(E_F) in states/eV/cell: 3.4

abc: 6.2300 6.2300 6.2300
angles: 144.81 144.81 50.61
Sites, in units of the cell vectors:
Mn  0.1146  0.1146  0.0000
Mn  0.8854  0.8854  0.0000
In  0.5000  0.5000  0.0000
As  0.2500  0.7500  0.5000
As  0.7500  0.2500  0.5000

=====

[12]
The following is a PBE calculation of crystalline Mn2InAs at its relaxed geometry, from Alexandria.

Calculated values
Distance to the lowest polymorph of the same formula in kJ/mol of atoms: 0.5
Space group: No. 25
Formation enthalpy at 0 K in meV per atom: 139
Size of the total moment in μB per formula unit: 5.470
Electronic total energy in eV/atom: -6.293
DOS(E_F) in states/eV/cell: 2.4

abc: 3.2127 3.2411 6.7183
angles: 90.00 90.00 90.00
Sites, in units of the cell vectors:
Mn  0.0000  0.0000  0.0000
Mn  0.0000  0.5000  0.3985
In  0.5000  0.0000  0.6548
As  0.5000  0.5000  0.1273

=====

[13]
The following is a PBE calculation of crystalline MnIn2As at its relaxed geometry, from Alexandria.

Calculated values
Space group: No. 47
Formation enthalpy at 0 K in meV per atom: 255
Size of the total moment in μB per formula unit: 3.900
Electronic total energy in eV/atom: -4.569
DOS(E_F) in states/eV/cell: 1.9

abc: 4.1438 4.3294 4.7377
angles: 90.00 90.00 90.00
Sites, in units of the cell vectors:
Mn  0.0000  0.0000  0.0000
In  0.5000  0.0000  0.5000
In  0.5000  0.5000  0.0000
As  0.0000  0.5000  0.5000

=====

[14]
The following is a PBE calculation of crystalline MnInAs2 at its relaxed geometry, from Alexandria.

Calculated values
Space group: No. 71
Formation enthalpy at 0 K in meV per atom: 82
Size of the total moment in μB per formula unit: 1.970
Electronic total energy in eV/atom: -5.220
DOS(E_F) in states/eV/cell: 1.5

abc: 6.2562 6.2562 6.2562
angles: 152.41 135.68 53.01
Sites, in units of the cell vectors:
Mn  0.0000  0.0000  0.0000
In  0.5000  0.5000  0.0000
As  0.1748  0.6748  0.5000
As  0.8252  0.3252  0.5000

=====

[15]
The following is a PBE calculation of crystalline MnIn2As at its relaxed geometry, from Alexandria.

Calculated values
Space group: No. 12
Formation enthalpy at 0 K in meV per atom: 244
Size of the total moment in μB per formula unit: 3.976
Electronic total energy in eV/atom: -4.580
DOS(E_F) in states/eV/cell: 1.8

abc: 5.5227 5.5227 4.2841
angles: 100.40 100.40 42.45
Sites, in units of the cell vectors:
Mn  0.0000  0.0000  0.0000
In  0.2398  0.2398  0.7472
In  0.7602  0.7602  0.2528
As  0.5000  0.5000  0.5000

=====

[16]
The following is a PBE calculation of crystalline MnInAs at its relaxed geometry, from Alexandria.

Calculated values
Distance to the lowest polymorph of the same formula in kJ/mol of atoms: 6.9
Space group: No. 107
Formation enthalpy at 0 K in meV per atom: 62
Size of the total moment in μB per formula unit: 2.635
Electronic total energy in eV/atom: -5.457
DOS(E_F) in states/eV/cell: 1.7

abc: 5.6991 5.6991 5.6991
angles: 146.53 146.53 48.06
Sites, in units of the cell vectors:
Mn  0.0000  0.0000  0.0000
In  0.6927  0.6927  0.0000
As  0.4081  0.4081  0.0000

=====

[17]
The following is a PBE calculation of crystalline MnIn2As at its relaxed geometry, from Alexandria.

Calculated values
Space group: No. 10
Formation enthalpy at 0 K in meV per atom: 260
Size of the total moment in μB per formula unit: 3.669
Electronic total energy in eV/atom: -4.564
DOS(E_F) in states/eV/cell: 2.5

abc: 3.9608 3.7988 5.7567
angles: 90.00 100.78 90.00
Sites, in units of the cell vectors:
Mn  0.0000  0.0000  0.0000
In  0.4911  0.5000  0.2468
In  0.5089  0.5000  0.7532
As  0.0000  0.0000  0.5000

=====

[18]
The following is a PBE calculation of crystalline MnInAs3 at its relaxed geometry, from Alexandria.

Calculated values
Distance to the lowest polymorph of the same formula in kJ/mol of atoms: 0.0
Space group: No. 221
Formation enthalpy at 0 K in meV per atom: 318
Size of the total moment in μB per formula unit: 0.004
Electronic total energy in eV/atom: -4.853
DOS(E_F) in states/eV/cell: 5.5

abc: 4.6917 4.6917 4.6917
angles: 90.00 90.00 90.00
Sites, in units of the cell vectors:
Mn  0.0000  0.0000  0.0000
In  0.5000  0.5000  0.5000
As  0.0000  0.0000  0.5000
As  0.0000  0.5000  0.0000
As  0.5000  0.0000  0.0000

=====

[19]
The following is a PBE calculation of crystalline MnIn2As at its relaxed geometry, from Alexandria.

Calculated values
Space group: No. 71
Formation enthalpy at 0 K in meV per atom: 74
Size of the total moment in μB per formula unit: 3.485
Electronic total energy in eV/atom: -4.750
DOS(E_F) in states/eV/cell: 2.2

abc: 7.5374 7.5374 7.5374
angles: 154.95 150.15 39.36
Sites, in units of the cell vectors:
Mn  0.0000  0.0000  0.0000
In  0.1780  0.6780  0.5000
In  0.8220  0.3220  0.5000
As  0.5000  0.5000  0.0000

=====

[20]
The following is a PBE calculation of crystalline MnInAs2 at its relaxed geometry, from Alexandria.

Calculated values
Space group: No. 12
Formation enthalpy at 0 K in meV per atom: -57
Size of the total moment in μB per formula unit: 2.876
Electronic total energy in eV/atom: -5.359
DOS(E_F) in states/eV/cell: 2.6

abc: 3.7556 3.7556 7.0688
angles: 105.60 105.60 59.98
Sites, in units of the cell vectors:
Mn  0.0000  0.0000  0.0000
In  0.5000  0.5000  0.5000
As  0.2685  0.2685  0.8073
As  0.7315  0.7315  0.1927